Here is crystalline PuMg14Sc at its relaxed geometry from Alexandria. Energies are from PBE-GGA.

Computed properties:
Magnetization = 5.79 Bohr magnetons per cell
Final energy = -42.41 eV per cell

```
data_PuMg14Sc
_cell_length_a 6.757
_cell_length_b 6.757
_cell_length_c 8.255
_cell_angle_alpha 90.00
_cell_angle_beta 90.00
_cell_angle_gamma 90.00
_symmetry_space_group_name_H-M 'P 4/m m m'
_symmetry_Int_Tables_number 123
_symmetry_space_group_name_Hall '-P 4 2'
loop_
_atom_site_label
_atom_site_type_symbol
_atom_site_fract_x
_atom_site_fract_y
_atom_site_fract_z
Pu1 Pu 0.000 0.000 0.000
Mg1 Mg 0.000 0.000 0.500
Mg2 Mg 0.000 0.500 0.000
Mg3 Mg 0.000 0.500 0.500
Mg4 Mg 0.255 0.255 0.257
Mg5 Mg 0.500 0.500 0.500
Sc1 Sc 0.500 0.500 0.000
```